First-principles (GGA-PBE) data for a relaxed structure of Tb4Nd19Ho6, as listed in Alexandria via LeMat-Bulk.

Unit cell a=10.998 b=10.998 c=10.998 alpha=109.47 beta=109.47 gamma=109.47
Fractional coordinates of all 29 atoms:
Tb  0.000  0.000  0.639
Tb  0.000  0.639  0.000
Tb  0.361  0.361  0.361
Tb  0.639  0.000  0.000
Nd  0.000  0.000  0.000
Nd  0.000  0.260  0.260
Nd  0.000  0.740  0.740
Nd  0.019  0.799  0.343
Nd  0.201  0.220  0.544
Nd  0.220  0.544  0.201
Nd  0.260  0.000  0.260
Nd  0.260  0.260  0.000
Nd  0.324  0.780  0.981
Nd  0.343  0.019  0.799
Nd  0.456  0.676  0.657
Nd  0.544  0.201  0.220
Nd  0.657  0.456  0.676
Nd  0.676  0.657  0.456
Nd  0.740  0.000  0.740
Nd  0.740  0.740  0.000
Nd  0.780  0.981  0.324
Nd  0.799  0.343  0.019
Nd  0.981  0.324  0.780
Ho  0.124  0.624  0.500
Ho  0.376  0.500  0.876
Ho  0.500  0.124  0.624
Ho  0.500  0.876  0.376
Ho  0.624  0.500  0.124
Ho  0.876  0.376  0.500

Total moment in μB/atom: 0.00
Energy in eV per atom: -4.35
ΔH_f (0 K) in eV/atom: 0.36
Space group: I23 (197)